A plane-wave DFT calculation with PBE-GGA was carried out for a relaxed CdMo2Ru crystal.

Summary:
* E: -7.73 eV/atom
* density of states at the Fermi level: 3.1 states/eV/cell
* magnetic moment: 0.00 μB/cell
* space group: No. 123
* DFT formation energy: 235.8 meV per atom

abc: 2.8209 2.8209 8.2348
angles: 90.00 90.00 90.00
Last column: nearest neighbours and their distance in Å.
Positions (direct):
Cd (0.0000, 0.0000, 0.0000)  4 Cd 2.82, 8 Mo 3.03
Mo (0.5000, 0.5000, 0.2776)  4 Ru 2.71, 4 Mo 2.82
Mo (0.5000, 0.5000, 0.7224)  4 Ru 2.71, 4 Mo 2.82
Ru (0.0000, 0.0000, 0.5000)  8 Mo 2.71, 4 Ru 2.82


A plane-wave DFT calculation with PBE-GGA was carried out for a relaxed CdMo2Ru crystal.

Summary:
* E: -7.53 eV/atom
* density of states at the Fermi level: 3.7 states/eV/cell
* magnetic moment: 0.00 μB/cell
* space group: No. 216
* DFT formation energy: 431.9 meV per atom

abc: 4.5133 4.5133 4.5133
angles: 60.00 60.00 60.00
Last column: nearest neighbours and their distance in Å.
Positions (direct):
Cd (0.0000, 0.0000, 0.0000)  4 Mo 2.76, 4 Ru 2.76
Mo (0.5000, 0.5000, 0.5000)  4 Mo 2.76, 4 Ru 2.76
Mo (0.7500, 0.7500, 0.7500)  4 Cd 2.76, 4 Mo 2.76
Ru (0.2500, 0.2500, 0.2500)  4 Mo 2.76, 4 Cd 2.76


A plane-wave DFT calculation with PBE-GGA was carried out for a relaxed CdMo2Ru crystal.

Summary:
* E: -7.64 eV/atom
* density of states at the Fermi level: 3.8 states/eV/cell
* magnetic moment: 0.00 μB/cell
* space group: No. 71
* DFT formation energy: 324.3 meV per atom

abc: 5.3640 5.3640 5.3640
angles: 145.62 131.11 61.13
Last column: nearest neighbours and their distance in Å.
Positions (direct):
Cd (0.0000, 0.0000, 0.0000)  4 Ru 2.73, 4 Mo 2.91
Mo (0.2643, 0.7643, 0.5000)  2 Ru 2.69, 4 Mo 2.74, 2 Cd 2.91
Mo (0.7357, 0.2357, 0.5000)  2 Ru 2.69, 4 Mo 2.74, 2 Cd 2.91
Ru (0.5000, 0.5000, 0.0000)  4 Mo 2.69, 4 Cd 2.73


A plane-wave DFT calculation with PBE-GGA was carried out for a relaxed CdMoRu3 crystal.

Summary:
* E: -5.30 eV/atom
* density of states at the Fermi level: 7.1 states/eV/cell
* magnetic moment: 0.00 μB/cell
* space group: No. 221
* E above lowest polymorph: 1224 meV/atom
* DFT formation energy: 2610.4 meV per atom

abc: 4.6838 4.6838 4.6838
angles: 90.00 90.00 90.00
Last column: nearest neighbours and their distance in Å.
Positions (direct):
Cd (0.0000, 0.0000, 0.0000)  6 Ru 2.34
Mo (0.5000, 0.5000, 0.5000)  12 Ru 3.31
Ru (0.0000, 0.0000, 0.5000)  2 Cd 2.34
Ru (0.0000, 0.5000, 0.0000)  2 Cd 2.34
Ru (0.5000, 0.0000, 0.0000)  2 Cd 2.34